7
Lattice="4.7114 0.0000 0.0000 0.0000 4.7114 0.0000 2.3557 2.3557 6.7679" Properties=species:S:1:pos:R:3 comment="Li2Ga4Ru | Alexandria via LeMat-Bulk | PBE | optimized geometry" space_group="I4/mmm (139)" de_polymorph_mev_per_atom=162 e_tot_ev_per_cell=-25.64 formation_energy_ev_per_atom=-0.061 magnetic_moment_mub_per_fu=0.0 pbc="T T T"
Ga 2.3557 2.3557 4.2693
Ru 0.0000 0.0000 0.0000
Ga 2.3557 0.0000 0.0000
Ga 0.0000 2.3557 0.0000
Li 4.7114 4.7114 5.1287
Li 2.3557 2.3557 1.6392
Ga 4.7114 4.7114 2.4986

---

5
Lattice="4.1582 0.0000 0.0000 0.0000 4.1582 0.0000 0.0000 0.0000 3.9830" Properties=species:S:1:pos:R:3 comment="TaAsO2F | Alexandria via LeMat-Bulk | PBE | optimized geometry" space_group="P4/mmm (123)" e_tot_ev_per_cell=-28.71 raw_formation_energy_ev_per_atom=-0.084 magnetic_moment_mub_per_fu=3.0 pbc="T T T"
Ta 2.0791 2.0791 1.9915
O 2.0791 0.0000 0.0000
O 0.0000 2.0791 0.0000
As 0.0000 0.0000 0.0000
F 0.0000 0.0000 1.9915